Entry 1:
A crystal of Re2IrCl relaxed with PBEsol, computed with SCAN.

Summary:
Calculated total energy: -54.501 eV/atom
D(E_F): 0.715 states/eV/atom
Calculated volume: 117.1 Å³/cell

```
data_Re2IrCl
_chemical_formula_sum 'Re4 Ir2 Cl2'
_cell_length_a 7.820
_cell_length_b 2.748
_cell_length_c 5.524
_cell_angle_alpha 90.00
_cell_angle_beta 99.46
_cell_angle_gamma 90.00
_symmetry_space_group_name_H-M 'C 1 2/m 1'
_symmetry_Int_Tables_number 12
loop_
_symmetry_equiv_pos_as_xyz
'x,y,z'
'-x,-y,-z'
'-x,y,-z'
'x,-y,z'
'x+1/2,y+1/2,z'
'-x+1/2,-y+1/2,-z'
'-x+1/2,y+1/2,-z'
'x+1/2,-y+1/2,z'
loop_
_atom_site_label
_atom_site_type_symbol
_atom_site_fract_x
_atom_site_fract_y
_atom_site_fract_z
_atom_site_occupancy
Re1 Re 0.248 0.000 0.269 1
Ir1 Ir 0.000 0.500 0.000 1
Cl1 Cl 0.000 0.000 0.500 1
```

=====

Entry 2:
A crystal of Re2IrCl relaxed with PBEsol, computed with SCAN.

Summary:
Calculated total energy: -54.845 eV/atom
D(E_F): 0.506 states/eV/atom
Calculated volume: 171.6 Å³/cell

```
data_Re2IrCl
_chemical_formula_sum 'Re6 Ir3 Cl3'
_cell_length_a 2.7875
_cell_length_b 2.7875
_cell_length_c 25.5020
_cell_angle_alpha 90.00
_cell_angle_beta 90.00
_cell_angle_gamma 120.00
_symmetry_space_group_name_H-M 'R -3 m'
_symmetry_Int_Tables_number 166
_symmetry_space_group_name_Hall '-R 3 2"'
loop_
_atom_site_label
_atom_site_type_symbol
_atom_site_fract_x
_atom_site_fract_y
_atom_site_fract_z
_atom_site_occupancy
Re1 Re 0.0000 0.0000 0.2489 1
Ir1 Ir 0.0000 0.0000 0.0000 1
Cl1 Cl 0.0000 0.0000 0.5000 1
```

=====

Entry 3:
A crystal of Sc2ReIrCl relaxed with PBEsol, computed with SCAN.

Summary:
Calculated total energy: -35.419 eV/atom
D(E_F): 0.840 states/eV/atom
Calculated volume: 88.2 Å³/cell

```
data_Sc2ReIrCl
_chemical_formula_sum 'Sc2 Re1 Ir1 Cl1'
_cell_length_a 4.556
_cell_length_b 4.556
_cell_length_c 4.248
_cell_angle_alpha 90.00
_cell_angle_beta 90.00
_cell_angle_gamma 90.00
_symmetry_space_group_name_H-M 'P 4/m m m'
_symmetry_Int_Tables_number 123
_symmetry_space_group_name_Hall '-P 4 2'
loop_
_atom_site_label
_atom_site_type_symbol
_atom_site_fract_x
_atom_site_fract_y
_atom_site_fract_z
_atom_site_occupancy
Sc1 Sc 0.000 0.500 0.000 1
Re1 Re 0.000 0.000 0.500 1
Ir1 Ir 0.500 0.500 0.500 1
Cl1 Cl 0.000 0.000 0.000 1
```

=====

Entry 4:
A crystal of ReTeIr2Cl relaxed with PBEsol, computed with SCAN.

Summary:
Calculated total energy: -49.799 eV/atom
D(E_F): 0.819 states/eV/atom
Calculated volume: 88.3 Å³/cell

```
data_ReTeIr2Cl
_chemical_formula_sum 'Re1 Te1 Ir2 Cl1'
_cell_length_a 4.519
_cell_length_b 4.519
_cell_length_c 4.323
_cell_angle_alpha 90.00
_cell_angle_beta 90.00
_cell_angle_gamma 90.00
_symmetry_space_group_name_H-M 'P 4/m m m'
_symmetry_Int_Tables_number 123
_symmetry_space_group_name_Hall '-P 4 2'
loop_
_atom_site_label
_atom_site_type_symbol
_atom_site_fract_x
_atom_site_fract_y
_atom_site_fract_z
_atom_site_occupancy
Re1 Re 0.000 0.000 0.000 1
Te1 Te 0.500 0.500 0.000 1
Ir1 Ir 0.000 0.500 0.500 1
Cl1 Cl 0.000 0.000 0.500 1
```

=====

Entry 5:
A crystal of IrRhCl2 relaxed with PBEsol, computed with SCAN.

Summary:
Calculated total energy: -29.541 eV/atom
D(E_F): 0.791 states/eV/atom
Calculated volume: 60.0 Å³/cell

```
data_IrRhCl2
_chemical_formula_sum 'Ir1 Rh1 Cl2'
_cell_length_a 2.815
_cell_length_b 4.070
_cell_length_c 5.241
_cell_angle_alpha 90.00
_cell_angle_beta 90.00
_cell_angle_gamma 90.00
_symmetry_space_group_name_H-M 'P m m m'
_symmetry_Int_Tables_number 47
loop_
_symmetry_equiv_pos_as_xyz
'x,y,z'
'-x,-y,-z'
'-x,-y,z'
'x,y,-z'
'x,-y,-z'
'-x,y,z'
'-x,y,-z'
'x,-y,z'
loop_
_atom_site_label
_atom_site_type_symbol
_atom_site_fract_x
_atom_site_fract_y
_atom_site_fract_z
_atom_site_occupancy
Ir1 Ir 0.000 0.000 0.000 1
Rh1 Rh 0.500 0.000 0.500 1
Cl1 Cl 0.000 0.500 0.500 1
Cl2 Cl 0.500 0.500 0.000 1
```

=====

Entry 6:
A crystal of IrRhCl2 relaxed with PBEsol, computed with SCAN.

Summary:
Calculated total energy: -29.515 eV/atom
D(E_F): 1.380 states/eV/atom
Calculated volume: 136.2 Å³/cell

```
data_IrRhCl2
_chemical_formula_sum 'Ir2 Rh2 Cl4'
_cell_length_a 2.848
_cell_length_b 3.925
_cell_length_c 12.188
_cell_angle_alpha 90.00
_cell_angle_beta 90.00
_cell_angle_gamma 90.00
_symmetry_space_group_name_H-M 'I m m 2'
_symmetry_Int_Tables_number 44
loop_
_symmetry_equiv_pos_as_xyz
'x,y,z'
'-x,-y,z'
'-x,y,z'
'x,-y,z'
'x+1/2,y+1/2,z+1/2'
'-x+1/2,-y+1/2,z+1/2'
'-x+1/2,y+1/2,z+1/2'
'x+1/2,-y+1/2,z+1/2'
loop_
_atom_site_label
_atom_site_type_symbol
_atom_site_fract_x
_atom_site_fract_y
_atom_site_fract_z
_atom_site_occupancy
Ir1 Ir 0.000 0.000 0.000 1
Rh1 Rh 0.000 0.500 0.686 1
Cl1 Cl 0.000 0.000 0.462 1
Cl2 Cl 0.000 0.500 0.224 1
```

=====

Entry 7:
A crystal of IrRhCl2 relaxed with PBEsol, computed with SCAN.

Summary:
Calculated total energy: -29.328 eV/atom
D(E_F): 0.121 states/eV/atom
Calculated volume: 242.7 Å³/cell

```
data_IrRhCl2
_chemical_formula_sum 'Ir4 Rh4 Cl8'
_cell_length_a 6.238
_cell_length_b 6.238
_cell_length_c 6.238
_cell_angle_alpha 90.00
_cell_angle_beta 90.00
_cell_angle_gamma 90.00
_symmetry_space_group_name_H-M 'F -4 3 m'
_symmetry_Int_Tables_number 216
_symmetry_space_group_name_Hall 'F -4 2 3'
loop_
_atom_site_label
_atom_site_type_symbol
_atom_site_fract_x
_atom_site_fract_y
_atom_site_fract_z
_atom_site_occupancy
Ir1 Ir 0.000 0.000 0.000 1
Rh1 Rh 0.250 0.250 0.250 1
Cl1 Cl 0.000 0.000 0.500 1
Cl2 Cl 0.250 0.250 0.750 1
```

=====

Entry 8:
A crystal of IrRhCl2 relaxed with PBEsol, computed with SCAN.

Summary:
Calculated total energy: -29.559 eV/atom
D(E_F): 0.740 states/eV/atom
Calculated volume: 120.5 Å³/cell

```
data_IrRhCl2
_chemical_formula_sum 'Ir2 Rh2 Cl4'
_cell_length_a 2.823
_cell_length_b 5.237
_cell_length_c 8.148
_cell_angle_alpha 90.00
_cell_angle_beta 90.00
_cell_angle_gamma 90.00
_symmetry_space_group_name_H-M 'I m m m'
_symmetry_Int_Tables_number 71
_symmetry_space_group_name_Hall '-I 2 2'
loop_
_atom_site_label
_atom_site_type_symbol
_atom_site_fract_x
_atom_site_fract_y
_atom_site_fract_z
_atom_site_occupancy
Ir1 Ir 0.000 0.000 0.000 1
Rh1 Rh 0.000 0.000 0.500 1
Cl1 Cl 0.000 0.500 0.256 1
```

=====

Entry 9:
A crystal of Ir2RuCl relaxed with PBEsol, computed with SCAN.

Summary:
Calculated total energy: -45.141 eV/atom
D(E_F): 1.206 states/eV/atom
Calculated volume: 114.1 Å³/cell

```
data_Ir2RuCl
_chemical_formula_sum 'Ir4 Ru2 Cl2'
_cell_length_a 5.385
_cell_length_b 7.823
_cell_length_c 2.709
_cell_angle_alpha 90.00
_cell_angle_beta 90.00
_cell_angle_gamma 90.00
_symmetry_space_group_name_H-M 'C m m m'
_symmetry_Int_Tables_number 65
_symmetry_space_group_name_Hall '-C 2 2'
loop_
_atom_site_label
_atom_site_type_symbol
_atom_site_fract_x
_atom_site_fract_y
_atom_site_fract_z
_atom_site_occupancy
Ir1 Ir 0.250 0.250 0.000 1
Ru1 Ru 0.000 0.000 0.500 1
Cl1 Cl 0.000 0.500 0.500 1
```

=====

Entry 10:
A crystal of IrRu3Cl relaxed with PBEsol, computed with SCAN.

Summary:
Calculated total energy: -35.225 eV/atom
D(E_F): 1.270 states/eV/atom
Calculated volume: 75.0 Å³/cell

```
data_IrRu3Cl
_chemical_formula_sum 'Ir1 Ru3 Cl1'
_cell_length_a 4.217
_cell_length_b 4.217
_cell_length_c 4.217
_cell_angle_alpha 90.00
_cell_angle_beta 90.00
_cell_angle_gamma 90.00
_symmetry_space_group_name_H-M 'P m -3 m'
_symmetry_Int_Tables_number 221
_symmetry_space_group_name_Hall '-P 4 2 3'
loop_
_atom_site_label
_atom_site_type_symbol
_atom_site_fract_x
_atom_site_fract_y
_atom_site_fract_z
_atom_site_occupancy
Ir1 Ir 0.000 0.000 0.000 1
Ru1 Ru 0.000 0.500 0.500 1
Cl1 Cl 0.500 0.500 0.500 1
```

=====

Entry 11:
A crystal of IrRuCl relaxed with PBEsol, computed with SCAN.

Summary:
Calculated total energy: -37.330 eV/atom
D(E_F): 1.086 states/eV/atom
Calculated volume: 177.5 Å³/cell

```
data_IrRuCl
_chemical_formula_sum 'Ir4 Ru4 Cl4'
_cell_length_a 2.730
_cell_length_b 4.937
_cell_length_c 13.169
_cell_angle_alpha 90.00
_cell_angle_beta 90.00
_cell_angle_gamma 90.00
_symmetry_space_group_name_H-M 'F m m 2'
_symmetry_Int_Tables_number 42
_symmetry_space_group_name_Hall 'F 2 -2'
loop_
_atom_site_label
_atom_site_type_symbol
_atom_site_fract_x
_atom_site_fract_y
_atom_site_fract_z
_atom_site_occupancy
Ir1 Ir 0.000 0.000 0.000 1
Ru1 Ru 0.000 0.000 0.664 1
Cl1 Cl 0.000 0.000 0.316 1
```

=====

Entry 12:
A crystal of Ir2RuCl relaxed with PBEsol, computed with SCAN.

Summary:
Calculated total energy: -45.599 eV/atom
D(E_F): 1.106 states/eV/atom
Calculated volume: 116.5 Å³/cell

```
data_Ir2RuCl
_chemical_formula_sum 'Ir4 Ru2 Cl2'
_cell_length_a 2.687
_cell_length_b 4.835
_cell_length_c 8.967
_cell_angle_alpha 90.00
_cell_angle_beta 90.00
_cell_angle_gamma 90.00
_symmetry_space_group_name_H-M 'C m m 2'
_symmetry_Int_Tables_number 35
loop_
_symmetry_equiv_pos_as_xyz
'x,y,z'
'-x,-y,z'
'-x,y,z'
'x,-y,z'
'x+1/2,y+1/2,z'
'-x+1/2,-y+1/2,z'
'-x+1/2,y+1/2,z'
'x+1/2,-y+1/2,z'
loop_
_atom_site_label
_atom_site_type_symbol
_atom_site_fract_x
_atom_site_fract_y
_atom_site_fract_z
_atom_site_occupancy
Ir1 Ir 0.000 0.000 0.000 1
Ir2 Ir 0.000 0.500 0.253 1
Ru1 Ru 0.000 0.000 0.506 1
Cl1 Cl 0.000 0.500 0.729 1
```

=====

Entry 13:
A crystal of ScIrS2Cl relaxed with PBEsol, computed with SCAN.

Summary:
Calculated total energy: -22.370 eV/atom
D(E_F): 0.508 states/eV/atom
Calculated volume: 108.2 Å³/cell

```
data_ScIrS2Cl
_chemical_formula_sum 'Sc1 Ir1 S2 Cl1'
_cell_length_a 4.841
_cell_length_b 4.841
_cell_length_c 4.617
_cell_angle_alpha 90.00
_cell_angle_beta 90.00
_cell_angle_gamma 90.00
_symmetry_space_group_name_H-M 'P 4/m m m'
_symmetry_Int_Tables_number 123
_symmetry_space_group_name_Hall '-P 4 2'
loop_
_atom_site_label
_atom_site_type_symbol
_atom_site_fract_x
_atom_site_fract_y
_atom_site_fract_z
_atom_site_occupancy
Sc1 Sc 0.000 0.000 0.000 1
Ir1 Ir 0.500 0.500 0.500 1
S1 S 0.000 0.500 0.000 1
Cl1 Cl 0.000 0.000 0.500 1
```

=====

Entry 14:
A crystal of IrSeSCl2 relaxed with PBEsol, computed with SCAN.

Summary:
Calculated total energy: -22.922 eV/atom
D(E_F): 0.604 states/eV/atom
Calculated volume: 100.3 Å³/cell

```
data_IrSeSCl2
_chemical_formula_sum 'Ir1 Se1 S1 Cl2'
_cell_length_a 4.713
_cell_length_b 4.713
_cell_length_c 4.517
_cell_angle_alpha 90.00
_cell_angle_beta 90.00
_cell_angle_gamma 90.00
_symmetry_space_group_name_H-M 'P 4/m m m'
_symmetry_Int_Tables_number 123
_symmetry_space_group_name_Hall '-P 4 2'
loop_
_atom_site_label
_atom_site_type_symbol
_atom_site_fract_x
_atom_site_fract_y
_atom_site_fract_z
_atom_site_occupancy
Ir1 Ir 0.000 0.000 0.000 1
Se1 Se 0.500 0.500 0.500 1
S1 S 0.000 0.000 0.500 1
Cl1 Cl 0.000 0.500 0.000 1
```

=====

Entry 15:
A crystal of TaIrSCl2 relaxed with PBEsol, computed with SCAN.

Summary:
Calculated total energy: -32.033 eV/atom
D(E_F): 1.033 states/eV/atom
Calculated volume: 103.6 Å³/cell

```
data_TaIrSCl2
_chemical_formula_sum 'Ta1 Ir1 S1 Cl2'
_cell_length_a 4.665
_cell_length_b 4.665
_cell_length_c 4.759
_cell_angle_alpha 90.00
_cell_angle_beta 90.00
_cell_angle_gamma 90.00
_symmetry_space_group_name_H-M 'P 4/m m m'
_symmetry_Int_Tables_number 123
_symmetry_space_group_name_Hall '-P 4 2'
loop_
_atom_site_label
_atom_site_type_symbol
_atom_site_fract_x
_atom_site_fract_y
_atom_site_fract_z
_atom_site_occupancy
Ta1 Ta 0.000 0.000 0.000 1
Ir1 Ir 0.500 0.500 0.500 1
S1 S 0.000 0.000 0.500 1
Cl1 Cl 0.000 0.500 0.000 1
```

=====

Entry 16:
A crystal of TaIrS2Cl relaxed with PBEsol, computed with SCAN.

Summary:
Calculated total energy: -32.084 eV/atom
D(E_F): 0.723 states/eV/atom
Calculated volume: 94.8 Å³/cell

```
data_TaIrS2Cl
_chemical_formula_sum 'Ta1 Ir1 S2 Cl1'
_cell_length_a 4.582
_cell_length_b 4.582
_cell_length_c 4.514
_cell_angle_alpha 90.00
_cell_angle_beta 90.00
_cell_angle_gamma 90.00
_symmetry_space_group_name_H-M 'P 4/m m m'
_symmetry_Int_Tables_number 123
_symmetry_space_group_name_Hall '-P 4 2'
loop_
_atom_site_label
_atom_site_type_symbol
_atom_site_fract_x
_atom_site_fract_y
_atom_site_fract_z
_atom_site_occupancy
Ta1 Ta 0.000 0.000 0.000 1
Ir1 Ir 0.500 0.500 0.500 1
S1 S 0.000 0.500 0.500 1
Cl1 Cl 0.500 0.500 0.000 1
```

=====

Entry 17:
A crystal of TeIrS2Cl relaxed with PBEsol, computed with SCAN.

Summary:
Calculated total energy: -26.777 eV/atom
D(E_F): 0.720 states/eV/atom
Calculated volume: 99.6 Å³/cell

```
data_TeIrS2Cl
_chemical_formula_sum 'Te1 Ir1 S2 Cl1'
_cell_length_a 4.617
_cell_length_b 4.617
_cell_length_c 4.673
_cell_angle_alpha 90.00
_cell_angle_beta 90.00
_cell_angle_gamma 90.00
_symmetry_space_group_name_H-M 'P 4/m m m'
_symmetry_Int_Tables_number 123
_symmetry_space_group_name_Hall '-P 4 2'
loop_
_atom_site_label
_atom_site_type_symbol
_atom_site_fract_x
_atom_site_fract_y
_atom_site_fract_z
_atom_site_occupancy
Te1 Te 0.000 0.000 0.000 1
Ir1 Ir 0.500 0.500 0.500 1
S1 S 0.000 0.500 0.500 1
Cl1 Cl 0.500 0.500 0.000 1
```

=====

Entry 18:
A crystal of TeIrSCl2 relaxed with PBEsol, computed with SCAN.

Summary:
Calculated total energy: -25.656 eV/atom
D(E_F): 0.829 states/eV/atom
Calculated volume: 134.0 Å³/cell

```
data_TeIrSCl2
_chemical_formula_sum 'Te1 Ir1 S1 Cl2'
_cell_length_a 5.172
_cell_length_b 5.172
_cell_length_c 5.010
_cell_angle_alpha 90.00
_cell_angle_beta 90.00
_cell_angle_gamma 90.00
_symmetry_space_group_name_H-M 'P 4/m m m'
_symmetry_Int_Tables_number 123
_symmetry_space_group_name_Hall '-P 4 2'
loop_
_atom_site_label
_atom_site_type_symbol
_atom_site_fract_x
_atom_site_fract_y
_atom_site_fract_z
_atom_site_occupancy
Te1 Te 0.000 0.000 0.000 1
Ir1 Ir 0.500 0.500 0.500 1
S1 S 0.000 0.000 0.500 1
Cl1 Cl 0.000 0.500 0.000 1
```

=====

Entry 19:
A crystal of TiIrS2Cl relaxed with PBEsol, computed with SCAN.

Summary:
Calculated total energy: -22.676 eV/atom
D(E_F): 0.880 states/eV/atom
Calculated volume: 97.7 Å³/cell

```
data_TiIrS2Cl
_chemical_formula_sum 'Ti1 Ir1 S2 Cl1'
_cell_length_a 4.612
_cell_length_b 4.612
_cell_length_c 4.591
_cell_angle_alpha 90.00
_cell_angle_beta 90.00
_cell_angle_gamma 90.00
_symmetry_space_group_name_H-M 'P 4/m m m'
_symmetry_Int_Tables_number 123
_symmetry_space_group_name_Hall '-P 4 2'
loop_
_atom_site_label
_atom_site_type_symbol
_atom_site_fract_x
_atom_site_fract_y
_atom_site_fract_z
_atom_site_occupancy
Ti1 Ti 0.000 0.000 0.000 1
Ir1 Ir 0.500 0.500 0.500 1
S1 S 0.000 0.500 0.500 1
Cl1 Cl 0.500 0.500 0.000 1
```

=====

Entry 20:
A crystal of SbIrCl2 relaxed with PBEsol, computed with SCAN.

Summary:
Calculated total energy: -30.910 eV/atom
D(E_F): 0.501 states/eV/atom
Calculated volume: 163.9 Å³/cell

```
data_SbIrCl2
_chemical_formula_sum 'Sb2 Ir2 Cl4'
_cell_length_a 4.259
_cell_length_b 4.770
_cell_length_c 8.068
_cell_angle_alpha 90.00
_cell_angle_beta 90.00
_cell_angle_gamma 90.00
_symmetry_space_group_name_H-M 'C m m 2'
_symmetry_Int_Tables_number 35
loop_
_symmetry_equiv_pos_as_xyz
'x,y,z'
'-x,-y,z'
'-x,y,z'
'x,-y,z'
'x+1/2,y+1/2,z'
'-x+1/2,-y+1/2,z'
'-x+1/2,y+1/2,z'
'x+1/2,-y+1/2,z'
loop_
_atom_site_label
_atom_site_type_symbol
_atom_site_fract_x
_atom_site_fract_y
_atom_site_fract_z
_atom_site_occupancy
Sb1 Sb 0.000 0.000 0.000 1
Ir1 Ir 0.000 0.500 0.194 1
Cl1 Cl 0.000 0.000 0.395 1
Cl2 Cl 0.000 0.500 0.756 1
```